# LaBe2P

Crystalline LaBe2P at its relaxed geometry (PBE, Alexandria).

Geometry as CIF:
```
data_LaBe2P
_chemical_formula_sum 'La2 Be4 P2'
_symmetry_space_group_name_H-M 'I m m 2'
_symmetry_Int_Tables_number 44
_symmetry_space_group_name_Hall 'I 2 -2'
_cell_length_a 3.782
_cell_length_b 5.833
_cell_length_c 6.734
_cell_angle_alpha 90.00
_cell_angle_beta 90.00
_cell_angle_gamma 90.00
loop_
_atom_site_label
_atom_site_fract_x
_atom_site_fract_y
_atom_site_fract_z
La1 0.000 0.000 0.000
Be1 0.000 0.000 0.507
Be2 0.000 0.500 0.845
P1 0.000 0.500 0.157
```

Properties
- V (Å³ per cell) = 148.6
- total moment (μB per formula unit) = 0.0
- DFT formation energy (kJ per mole of atoms) = -21